No. 1
Computed, not measured: a relaxed structure of Ac2InI2 at the PBE level of DFT.

a b c (Å): 12.642 12.642 12.642
angles (deg): 21.06 21.06 21.06
Fractional coordinates of all 5 atoms:
1 Ac 0.110 0.110 0.110
2 Ac 0.890 0.890 0.890
3 In 0.500 0.500 0.500
4 I 0.280 0.280 0.280
5 I 0.720 0.720 0.720

Calculated values
ΔE_f (raw): -0.969 eV per atom


No. 2
Computed, not measured: a relaxed structure of DyEr2Tm3S6 at the PBE level of DFT.

a b c (Å): 8.622 8.622 7.746
angles (deg): 103.20 103.20 25.81
Fractional coordinates of all 12 atoms:
1 Dy 0.000 0.000 0.000
2 Er 0.334 0.334 0.668
3 Er 0.666 0.666 0.332
4 Tm 0.000 0.000 0.500
5 Tm 0.334 0.334 0.166
6 Tm 0.666 0.666 0.834
7 S 0.166 0.166 0.584
8 S 0.168 0.168 0.083
9 S 0.500 0.500 0.254
10 S 0.500 0.500 0.746
11 S 0.832 0.832 0.917
12 S 0.834 0.834 0.416

Calculated values
ΔE_f (raw): -1.949 eV per atom


No. 3
Computed, not measured: a relaxed structure of Pm6HgI8 at the PBE level of DFT.

a b c (Å): 12.505 12.505 12.505
angles (deg): 35.56 35.56 35.56
Fractional coordinates of all 15 atoms:
1 Pm 0.051 0.369 0.732
2 Pm 0.268 0.949 0.631
3 Pm 0.369 0.732 0.051
4 Pm 0.631 0.268 0.949
5 Pm 0.732 0.051 0.369
6 Pm 0.949 0.631 0.268
7 Hg 0.000 0.000 0.000
8 I 0.107 0.768 0.445
9 I 0.232 0.555 0.893
10 I 0.333 0.333 0.333
11 I 0.445 0.107 0.768
12 I 0.555 0.893 0.232
13 I 0.667 0.667 0.667
14 I 0.768 0.445 0.107
15 I 0.893 0.232 0.555

Calculated values
ΔE_f (raw): -1.062 eV per atom


No. 4
Computed, not measured: a relaxed structure of Y2MnRu at the PBE level of DFT.

a b c (Å): 9.048 9.048 9.048
angles (deg): 21.87 21.87 21.87
Fractional coordinates of all 4 atoms:
1 Y 0.242 0.242 0.242
2 Y 0.758 0.758 0.758
3 Mn 0.000 0.000 0.000
4 Ru 0.500 0.500 0.500

Calculated values
Calculated formation energy: 0.249 eV per atom


No. 5
Computed, not measured: a relaxed structure of BI2N2 at the PBE level of DFT.

a b c (Å): 4.122 4.122 5.263
angles (deg): 90.00 90.00 90.00
Fractional coordinates of all 5 atoms:
1 B 0.000 0.000 0.000
2 I 0.000 0.000 0.500
3 I 0.500 0.500 0.500
4 N 0.000 0.500 0.000
5 N 0.500 0.000 0.000

Calculated values
ΔE_f (raw): 2.291 eV per atom
Relative energy among the computed polymorphs: 1280 meV/atom


No. 6
Computed, not measured: a relaxed structure of TmPaTcPt at the PBE level of DFT.

a b c (Å): 4.878 4.878 4.878
angles (deg): 60.00 60.00 60.00
Fractional coordinates of all 4 atoms:
1 Tm 0.000 0.000 0.000
2 Pa 0.500 0.500 0.500
3 Tc 0.750 0.750 0.750
4 Pt 0.250 0.250 0.250

Calculated values
Calculated formation energy: -0.554 eV per atom


No. 7
Computed, not measured: a relaxed structure of LiY2ErTl4 at the PBE level of DFT.

a b c (Å): 9.302 9.302 9.302
angles (deg): 32.67 32.67 32.67
Fractional coordinates of all 8 atoms:
1 Li 0.000 0.000 0.000
2 Y 0.255 0.255 0.255
3 Y 0.745 0.745 0.745
4 Er 0.500 0.500 0.500
5 Tl 0.124 0.124 0.124
6 Tl 0.373 0.373 0.373
7 Tl 0.627 0.627 0.627
8 Tl 0.876 0.876 0.876

Calculated values
Calculated formation energy: -0.333 eV per atom


No. 8
Computed, not measured: a relaxed structure of LiLaBr2 at the PBE level of DFT.

a b c (Å): 3.808 3.808 7.081
angles (deg): 90.00 90.00 90.00
Fractional coordinates of all 4 atoms:
1 Li 0.000 0.000 0.000
2 La 0.000 0.000 0.500
3 Br 0.500 0.500 0.257
4 Br 0.500 0.500 0.743

Calculated values
ΔE_f (raw): -1.171 eV per atom
Relative energy among the computed polymorphs: 228 meV/atom


Record order is preserved below.
Magnetic moment: 0.0, 0.0, 0.0, 3.5, 3.2, 0.0, 0.0, 0.3 μB/f.u.